No. 1
{
  "formula": "VZnOsS2",
  "functional": "PBE",
  "state": "optimized geometry",
  "cell": [[4.429, 0.000, 0.000], [0.000, 4.690, 0.000], [0.000, 0.000, 4.429]],
  "species": ["Zn", "Os", "S", "S", "V"],
  "frac_coords": [[0.000, 0.000, 0.000], [0.000, 0.500, 0.000], [0.000, 0.000, 0.500], [0.500, 0.000, 0.000], [0.500, 0.500, 0.500]],
  "vol_a3_per_atom": 18.397,
  "raw_formation_energy_ev_per_fu": 7.6
}

No. 2
{
  "formula": "OsWS2",
  "functional": "PBE",
  "state": "optimized geometry",
  "cell": [[-3.289, -2.984, -2.981], [2.139, -4.438, 2.082], [-4.051, -3.627, 3.301]],
  "species": ["S", "S", "S", "S", "Os", "Os", "W", "W"],
  "frac_coords": [[0.634, 0.125, 0.250], [0.116, 0.625, 0.250], [0.375, 0.366, 0.750], [0.875, 0.884, 0.750], [0.000, 0.000, 0.000], [0.750, 0.250, 0.500], [0.500, 0.500, 0.000], [0.250, 0.750, 0.500]],
  "e_above_lowest_polymorph_mev_per_atom": 305.6,
  "vol_a3_per_atom": 18.289,
  "raw_formation_energy_ev_per_fu": 1.3
}

No. 3
{
  "formula": "Os3WS",
  "functional": "PBE",
  "state": "optimized geometry",
  "cell": [[-1.634, -3.798, 1.248], [2.187, -1.978, -3.155], [3.346, -0.561, 2.672]],
  "species": ["S", "Os", "Os", "Os", "W"],
  "frac_coords": [[0.000, 0.000, 0.000], [0.000, 0.500, 0.000], [0.000, 0.000, 0.500], [0.500, 0.000, 0.000], [0.500, 0.500, 0.500]],
  "e_above_lowest_polymorph_mev_per_atom": 0.0,
  "vol_a3_per_atom": 16.107,
  "raw_formation_energy_ev_per_fu": 6.8
}

No. 4
{
  "formula": "OsWS2",
  "functional": "PBE",
  "state": "optimized geometry",
  "cell": [[-3.079, -2.178, 1.948], [-3.518, -1.063, -2.124], [-0.711, -4.055, -1.034]],
  "species": ["S", "S", "Os", "W"],
  "frac_coords": [[0.250, 0.250, 0.250], [0.750, 0.750, 0.750], [0.500, 0.500, 0.500], [0.000, 0.000, 0.000]],
  "e_above_lowest_polymorph_mev_per_atom": 402.5,
  "vol_a3_per_atom": 13.520,
  "raw_formation_energy_ev_per_fu": 1.7
}